# 1
Here is an optimized crystal structure of CaSm3Y6Ho2 from the Alexandria database. Energies are from PBE.

For the formation energy, the calculation gives 5 kJ per mole of atoms.

The space group is C2/m (No. 12) and the conventional cell measures 6.244, 10.812 and 11.908 Å, with angles of 90.00, 100.05 and 90.00 degrees. The distinct sites, in fractional coordinates, are Ca at (0.000, 0.000, 0.000), Sm at (0.000, 0.166, 0.500), Sm at (0.000, 0.500, 0.500), Y at (0.245, 0.500, 0.251), Y at (0.246, 0.331, 0.749) and Ho at (0.000, 0.333, 0.000).

# 2
Here is an optimized crystal structure of Ta2MnAg from the Alexandria database. Energies are from PBE.

For the formation energy, the calculation gives 20 kJ per mole of atoms. As for the energy above the most stable polymorph in this dataset: 0.064 eV/atom.

The space group is P4mm (No. 99) and the conventional cell measures 3.242, 3.242 and 6.395 Å, with angles of 90.00, 90.00 and 90.00 degrees. The distinct sites, in fractional coordinates, are Ta at (0.000, 0.000, 0.000), Ta at (0.500, 0.500, 0.263), Mn at (0.500, 0.500, 0.792) and Ag at (0.000, 0.000, 0.537).

# 3
Here is an optimized crystal structure of CeNbFe2 from the Alexandria database. Energies are from PBE.

For the formation energy, the calculation gives 3 kJ per mole of atoms.

The space group is P4/mmm (No. 123) and the conventional cell measures 3.039, 3.039 and 7.021 Å, with angles of 90.00, 90.00 and 90.00 degrees. The distinct sites, in fractional coordinates, are Ce at (0.000, 0.000, 0.000), Nb at (0.000, 0.000, 0.500) and Fe at (0.500, 0.500, 0.295).

# 4
Here is an optimized crystal structure of YTlS2 from the Alexandria database. Energies are from PBE.

Its uncorrected formation energy is -5.90 eV per formula unit.

The space group is R3m (No. 160, hexagonal axes) and the conventional cell measures 4.0220, 4.0220 and 22.8686 Å, with angles of 90.00, 90.00 and 120.00 degrees. The distinct sites, in fractional coordinates, are Y at (0.0000, 0.0000, 0.0000), Tl at (0.0000, 0.0000, 0.1698), S at (0.0000, 0.0000, 0.3982) and S at (0.0000, 0.0000, 0.6003).

# 5
Here is an optimized crystal structure of AcInNi2 from the Alexandria database. Energies are from PBE.

For the formation energy, the calculation gives -31 kJ per mole of atoms.

The space group is R-3m (No. 166, hexagonal axes) and the conventional cell measures 4.4736, 4.4736 and 15.1036 Å, with angles of 90.00, 90.00 and 120.00 degrees. The distinct sites, in fractional coordinates, are Ac at (0.0000, 0.0000, 0.0000), In at (0.0000, 0.0000, 0.5000) and Ni at (0.0000, 0.0000, 0.1965).

# 6
Here is an optimized crystal structure of LuRh2Pb from the Alexandria database. Energies are from PBE.

For the formation energy, the calculation gives -58 kJ per mole of atoms.

The space group is P4/mmm (No. 123) and the conventional cell measures 4.504, 4.504 and 3.666 Å, with angles of 90.00, 90.00 and 90.00 degrees. The distinct sites, in fractional coordinates, are Lu at (0.000, 0.000, 0.000), Rh at (0.000, 0.500, 0.500) and Pb at (0.500, 0.500, 0.000).

# 7
Here is an optimized crystal structure of SrC3 from the Alexandria database. Energies are from PBE.

For the formation energy, the calculation gives 311 kJ per mole of atoms. As for the energy above the most stable polymorph in this dataset: 2.633 eV/atom.

The space group is Pm-3n (No. 223) and the conventional cell measures 4.772, 4.772 and 4.772 Å, with angles of 90.00, 90.00 and 90.00 degrees. The distinct sites, in fractional coordinates, are Sr at (0.000, 0.000, 0.000) and C at (0.000, 0.250, 0.500).

# 8
Here is an optimized crystal structure of Hg5Sb3Pb12 from the Alexandria database. Energies are from PBE.

Its uncorrected formation energy is 3.31 eV per formula unit.

The space group is Ia-3d (No. 230) and the conventional cell measures 18.321, 18.321 and 18.321 Å, with angles of 90.00, 90.00 and 90.00 degrees. The distinct sites, in fractional coordinates, are Hg at (0.000, 0.000, 0.000), Hg at (0.000, 0.250, 0.375), Sb at (0.000, 0.250, 0.125) and Pb at (0.005, 0.075, 0.650).

# 9
Here is an optimized crystal structure of MgPaNiPd from the Alexandria database. Energies are from PBE.

For the formation energy, the calculation gives -34 kJ per mole of atoms.

The space group is F-43m (No. 216) and the conventional cell measures 6.669, 6.669 and 6.669 Å, with angles of 90.00, 90.00 and 90.00 degrees. The distinct sites, in fractional coordinates, are Mg at (0.000, 0.000, 0.000), Pa at (0.000, 0.000, 0.500), Ni at (0.250, 0.250, 0.250) and Pd at (0.250, 0.250, 0.750).

# 10
Here is an optimized crystal structure of CdHgAs from the Alexandria database. Energies are from PBE.

For the formation energy, the calculation gives 21 kJ per mole of atoms. As for the energy above the most stable polymorph in this dataset: 0.093 eV/atom.

The space group is I4mm (No. 107) and the conventional cell measures 3.134, 3.134 and 13.887 Å, with angles of 90.00, 90.00 and 90.00 degrees. The distinct sites, in fractional coordinates, are Cd at (0.000, 0.000, 0.000), Hg at (0.000, 0.000, 0.330) and As at (0.000, 0.000, 0.647).

# 11
Here is an optimized crystal structure of ZnCd2Cl6 from the Alexandria database. Energies are from PBE.

As for the energy above the most stable polymorph in this dataset: 0.000 eV/atom. Its uncorrected formation energy is -9.69 eV per formula unit.

The space group is C2/c (No. 15) and the conventional cell measures 14.067, 14.451 and 6.666 Å, with angles of 90.00, 115.72 and 90.00 degrees. The distinct sites, in fractional coordinates, are Zn at (0.000, 0.217, 0.250), Cd at (0.229, 0.416, 0.412), Cl at (0.092, 0.125, 0.555), Cl at (0.106, 0.301, 0.138) and Cl at (0.196, 0.422, 0.750).

# 12
Here is an optimized crystal structure of CsUInF6 from the Alexandria database. Energies are from PBE.

Its uncorrected formation energy is -27.29 eV per formula unit.

The space group is P1 (No. 1) and the conventional cell measures 5.563, 6.844 and 6.863 Å, with angles of 118.76, 90.02 and 90.13 degrees. The distinct sites, in fractional coordinates, are Cs at (0.000, 0.000, 0.000), U at (0.495, 0.668, 0.333), In at (0.501, 0.337, 0.663), F at (0.267, 0.923, 0.579), F at (0.288, 0.650, 0.052), F at (0.296, 0.392, 0.345), F at (0.695, 0.665, 0.611), F at (0.703, 0.946, 0.342) and F at (0.723, 0.417, 0.083).

no.,DFT total energy (eV/atom)
1,-5.288
2,-8.721
3,-8.196
4,-5.746
5,-4.928
6,-6.336
7,-4.118
8,-2.753
9,-5.872
10,-1.743
11,-2.652
12,-5.933